Entry 1:
Computed, not measured: crystalline LiOsS3 at its relaxed geometry at the GGA-PBE level of DFT.

Calculated values
energy above the lowest structure with this stoichiometry: 0 meV/atom

```
5
Lattice="-0.922 1.230 -4.413 4.194 -1.583 -1.318 -1.842 -4.221 -0.792" Properties=species:S:1:pos:R:3 pbc="T T T"
S -0.461 0.615 -2.206
S -0.921 -2.110 -0.396
S 2.097 -0.791 -0.659
Li 0.715 -2.287 -3.261
Os 0.000 0.000 0.000
```

=====

Entry 2:
Computed, not measured: crystalline Li2OsS at its relaxed geometry at the GGA-PBE level of DFT.

```
8
Lattice="7.362 0.000 0.000 0.000 7.362 0.000 3.681 3.681 2.212" Properties=species:S:1:pos:R:3 pbc="T T T"
Li 9.203 8.782 1.659
Li 5.101 1.841 0.553
Li 5.522 5.942 1.659
Li 2.261 5.522 0.553
S 3.681 7.362 1.106
S 3.681 3.681 0.000
Os 7.362 3.681 1.106
Os 0.000 0.000 0.000
```

=====

Entry 3:
Computed, not measured: crystalline Li3OsS at its relaxed geometry at the GGA-PBE level of DFT.

Calculated values
energy above the lowest structure with this stoichiometry: 0 meV/atom

```
5
Lattice="4.486 0.000 0.000 0.000 4.486 0.000 0.000 0.000 4.486" Properties=species:S:1:pos:R:3 pbc="T T T"
Li 0.000 2.243 0.000
Li 2.243 0.000 0.000
Li 0.000 0.000 2.243
Os 2.243 2.243 2.243
S 0.000 0.000 0.000
```

=====

Entry 4:
Computed, not measured: crystalline LiTeOsS2 at its relaxed geometry at the GGA-PBE level of DFT.

```
5
Lattice="-3.188 2.423 -3.269 -3.226 0.514 3.527 2.128 4.532 1.285" Properties=species:S:1:pos:R:3 pbc="T T T"
Os -2.143 3.735 0.772
Li -1.613 0.257 1.764
Te 0.000 0.000 0.000
S 1.064 2.266 0.642
S -1.594 1.212 -1.634
```

=====

Entry 5:
Computed, not measured: crystalline Li2SbOs at its relaxed geometry at the GGA-PBE level of DFT.

```
4
Lattice="-1.833 0.493 2.055 -1.868 -0.213 -2.071 -0.666 -8.715 1.498" Properties=species:S:1:pos:R:3 pbc="T T T"
Li -0.316 -4.132 0.710
Li -0.017 -0.225 0.039
Os -2.017 -2.039 0.366
Sb -2.350 -6.396 1.115
```

=====

Entry 6:
Computed, not measured: crystalline LiSb2Os at its relaxed geometry at the GGA-PBE level of DFT.

Calculated values
energy above the lowest structure with this stoichiometry: 29 meV/atom

```
4
Lattice="8.296 0.016 -0.001 7.013 4.431 0.001 -7.643 -2.262 2.299" Properties=species:S:1:pos:R:3 pbc="T T T"
Os 2.739 1.971 1.150
Li 6.794 1.974 0.000
Sb 0.989 0.287 0.000
Sb 4.798 0.176 1.149
```

=====

Entry 7:
Computed, not measured: crystalline LiSbOs2 at its relaxed geometry at the GGA-PBE level of DFT.

```
4
Lattice="4.739 -0.010 0.000 1.343 4.545 0.000 -3.041 -2.268 2.841" Properties=species:S:1:pos:R:3 pbc="T T T"
Os 0.671 2.273 1.420
Os 0.000 0.000 0.000
Sb 3.041 2.268 0.000
Li 2.370 -0.005 1.420
```

=====

Entry 8:
Computed, not measured: crystalline LiSbOs2 at its relaxed geometry at the GGA-PBE level of DFT.

```
4
Lattice="-6.674 -6.148 1.039 -4.621 -7.398 2.709 -6.356 -5.325 3.830" Properties=species:S:1:pos:R:3 pbc="T T T"
Os -17.584 -18.800 7.550
Os -4.495 -4.806 1.930
Sb -8.887 -9.501 3.816
Li -13.161 -14.070 5.651
```

=====

| no. | theoretical density (Mg/m³) | ΔE_f (raw) (eV/atom) |
| --- | --- | --- |
| 1 | 4.77 | 0.18 |
| 2 | 6.54 | 0.08 |
| 3 | 4.47 | 0.40 |
| 4 | 5.03 | 1.41 |
| 5 | 7.85 | 0.30 |
| 6 | 8.69 | 0.04 |
| 7 | 13.81 | 0.38 |
| 8 | 12.70 | 0.43 |